1.
DFT (PBE) results for an optimized crystal structure of Ba2AcTlF8.

Raw total energy ... -68.979 eV per cell
V ... 244.21 Å³ per cell
SG ... I-4m2

a = 6.227 Å, b = 6.227 Å, c = 7.685 Å
α = 113.90°, β = 113.90°, γ = 90.00°
Atoms (fractional coordinates):
F: 0.908 0.884 0.271
F: 0.364 0.387 0.271
F: 0.364 0.884 0.271
F: 0.116 0.092 0.729
F: 0.908 0.387 0.271
F: 0.116 0.636 0.729
F: 0.613 0.092 0.729
F: 0.613 0.636 0.729
Ac: 0.250 0.750 0.500
Ba: 0.000 0.000 0.000
Ba: 0.750 0.250 0.500
Tl: 0.500 0.500 0.000

=====

2.
DFT (PBE) results for an optimized crystal structure of PuMgFe.

Raw total energy ... -24.030 eV per cell
Energy relative to the elements ... 0.1196 eV per atom
V ... 58.99 Å³ per cell
SG ... I4mm

a = 3.165 Å, b = 3.165 Å, c = 6.298 Å
α = 104.55°, β = 104.55°, γ = 90.00°
Last column: magnetic moment on the atom in μB.
Atoms (fractional coordinates):
Mg: 0.027 0.027 0.054  0.01
Fe: 0.670 0.670 0.339  -2.12
Pu: 0.304 0.304 0.607  5.27

=====

3.
DFT (PBE) results for an optimized crystal structure of Hf2InCu2.

Raw total energy ... -128.031 eV per cell
Energy relative to the elements ... -0.2340 eV per atom
V ... 353.37 Å³ per cell
SG ... P4_2/mnm

a = 7.230 Å, b = 7.230 Å, c = 6.759 Å
α = 90.00°, β = 90.00°, γ = 90.00°
Atoms (fractional coordinates):
Cu: 0.877 0.123 0.702
Cu: 0.123 0.877 0.298
Cu: 0.123 0.877 0.702
Cu: 0.623 0.623 0.798
Cu: 0.377 0.377 0.798
Cu: 0.377 0.377 0.202
Cu: 0.877 0.123 0.298
Cu: 0.623 0.623 0.202
Hf: 0.350 0.650 0.500
Hf: 0.150 0.150 0.000
Hf: 0.650 0.350 0.500
Hf: 0.305 0.695 0.000
Hf: 0.195 0.195 0.500
Hf: 0.805 0.805 0.500
Hf: 0.850 0.850 0.000
Hf: 0.695 0.305 0.000
In: 0.500 0.000 0.250
In: 0.000 0.500 0.250
In: 0.000 0.500 0.750
In: 0.500 0.000 0.750

=====

4.
DFT (PBE) results for an optimized crystal structure of Er2Tm4Sc3.

Raw total energy ... -89.999 eV per cell
Energy relative to the elements ... 0.1119 eV per atom
V ... 508.73 Å³ per cell
SG ... C2/c

a = 5.634 Å, b = 10.860 Å, c = 10.860 Å
α = 61.72°, β = 64.90°, γ = 64.90°
Atoms (fractional coordinates):
Tm: 0.086 0.829 0.043
Tm: 0.914 0.171 0.957
Tm: 0.912 0.839 0.624
Tm: 0.414 0.957 0.171
Tm: 0.088 0.161 0.376
Tm: 0.586 0.043 0.829
Tm: 0.412 0.624 0.839
Tm: 0.588 0.376 0.161
Sc: 0.749 0.682 0.986
Sc: 0.750 0.347 0.653
Sc: 0.250 0.653 0.347
Sc: 0.251 0.318 0.014
Sc: 0.249 0.986 0.682
Sc: 0.751 0.014 0.318
Er: 0.414 0.289 0.505
Er: 0.086 0.495 0.711
Er: 0.914 0.505 0.289
Er: 0.586 0.711 0.495

=====

5.
DFT (PBE) results for an optimized crystal structure of HgTeAs4.

Raw total energy ... -19.630 eV per cell
V ... 163.77 Å³ per cell
SG ... F-43m

a = 6.141 Å, b = 6.141 Å, c = 6.141 Å
α = 60.00°, β = 60.00°, γ = 60.00°
Atoms (fractional coordinates):
Hg: 0.750 0.750 0.750
As: 0.942 0.353 0.353
As: 0.353 0.942 0.353
As: 0.353 0.353 0.942
As: 0.353 0.353 0.353
Te: 0.000 0.000 0.000

=====

6.
DFT (PBE) results for an optimized crystal structure of Ba2AlTl2Hg4.

Raw total energy ... -15.980 eV per cell
Energy relative to the elements ... -0.2724 eV per atom
V ... 276.14 Å³ per cell
SG ... I4/mmm

a = 7.327 Å, b = 7.327 Å, c = 7.327 Å
α = 89.20°, β = 120.46°, γ = 120.46°
Atoms (fractional coordinates):
Al: 0.000 0.000 0.000
Tl: 0.000 0.707 0.707
Tl: 0.000 0.293 0.293
Hg: 0.463 0.731 0.731
Hg: 0.000 0.731 0.269
Hg: 0.000 0.269 0.731
Hg: 0.537 0.269 0.269
Ba: 0.500 0.250 0.750
Ba: 0.500 0.750 0.250

=====

7.
DFT (PBE) results for an optimized crystal structure of NbBi3B.

ΔE to the lowest computed polymorph ... 167.4 meV/atom
Raw total energy ... -21.697 eV per cell
Energy relative to the elements ... 1.3386 eV per atom
V ... 165.34 Å³ per cell
SG ... Pm-3m

a = 5.489 Å, b = 5.489 Å, c = 5.489 Å
α = 90.00°, β = 90.00°, γ = 90.00°
Atoms (fractional coordinates):
Bi: 0.500 0.000 0.000
Bi: 0.000 0.500 0.000
Bi: 0.000 0.000 0.500
Nb: 0.000 0.000 0.000
B: 0.500 0.500 0.500

=====

8.
DFT (PBE) results for an optimized crystal structure of KTlV2.

ΔE to the lowest computed polymorph ... 0.0 meV/atom
Raw total energy ... -34.097 eV per cell
Energy relative to the elements ... 1.1631 eV per atom
V ... 210.78 Å³ per cell
SG ... I-42d

a = 4.479 Å, b = 4.479 Å, c = 10.974 Å
α = 78.23°, β = 78.23°, γ = 90.00°
Atoms (fractional coordinates):
V: 0.875 0.143 0.750
V: 0.893 0.125 0.250
V: 0.857 0.625 0.250
V: 0.375 0.107 0.750
Tl: 0.000 0.000 0.000
Tl: 0.750 0.250 0.500
K: 0.500 0.500 0.000
K: 0.250 0.750 0.500

=====

9.
DFT (PBE) results for an optimized crystal structure of LaAs2Se.

ΔE to the lowest computed polymorph ... 160.7 meV/atom
Raw total energy ... -21.003 eV per cell
V ... 93.41 Å³ per cell
SG ... Imm2

a = 5.535 Å, b = 5.535 Å, c = 5.535 Å
α = 138.24°, β = 122.18°, γ = 73.82°
Atoms (fractional coordinates):
As: 0.205 0.705 0.500
As: 0.019 0.019 0.000
La: 0.493 0.493 0.000
Se: 0.783 0.283 0.500

=====

10.
DFT (PBE) results for an optimized crystal structure of Na2MnCr.

ΔE to the lowest computed polymorph ... 0.0 meV/atom
Raw total energy ... -31.488 eV per cell
Energy relative to the elements ... 1.4217 eV per atom
V ... 162.30 Å³ per cell
SG ... I-42d

a = 8.086 Å, b = 8.086 Å, c = 6.233 Å
α = 49.56°, β = 49.56°, γ = 90.00°
Last column: magnetic moment on the atom in μB.
Atoms (fractional coordinates):
Na: 0.120 0.625 0.250  0.00
Na: 0.875 0.880 0.750  0.00
Na: 0.630 0.125 0.250  0.00
Na: 0.375 0.370 0.750  0.00
Cr: 0.500 0.500 0.000  0.36
Cr: 0.250 0.750 0.500  0.36
Mn: 0.750 0.250 0.500  3.51
Mn: 0.000 0.000 0.000  3.51

=====

11.
DFT (PBE) results for an optimized crystal structure of Be2AgAs.

Raw total energy ... -14.346 eV per cell
Energy relative to the elements ... 0.1517 eV per atom
V ... 65.54 Å³ per cell
SG ... Pm

a = 3.640 Å, b = 3.580 Å, c = 5.332 Å
α = 109.38°, β = 90.00°, γ = 90.00°
Atoms (fractional coordinates):
Be: 0.500 0.367 0.110
Be: 0.000 0.863 0.099
As: 0.500 0.738 0.849
Ag: 0.000 0.532 0.442

=====

12.
DFT (PBE) results for an optimized crystal structure of RhPb2O5.

ΔE to the lowest computed polymorph ... 0.0 meV/atom
Raw total energy ... -45.714 eV per cell
V ... 146.22 Å³ per cell
SG ... P1

a = 5.657 Å, b = 9.803 Å, c = 6.213 Å
α = 50.33°, β = 60.46°, γ = 33.62°
Atoms (fractional coordinates):
O: 0.492 0.198 0.872
O: 0.494 0.290 0.214
O: 0.998 0.262 0.805
O: 0.225 0.748 0.322
O: 0.350 0.857 0.777
Pb: 0.728 0.945 0.670
Pb: 0.813 0.402 0.124
Rh: 0.902 0.074 0.994

=====

13.
DFT (PBE) results for an optimized crystal structure of Rb2LiSeO4.

Raw total energy ... -74.395 eV per cell
V ... 318.85 Å³ per cell
SG ... Fddd

a = 5.035 Å, b = 6.596 Å, c = 10.688 Å
α = 84.84°, β = 76.38°, γ = 67.56°
Last column: magnetic moment on the atom in μB.
Atoms (fractional coordinates):
O: 0.314 0.827 0.090  0.15
O: 0.231 0.173 0.910  0.15
O: 0.154 0.327 0.410  0.15
O: 0.519 0.327 0.590  0.15
O: 0.859 0.827 0.910  0.15
O: 0.596 0.173 0.090  0.15
O: 0.436 0.673 0.410  0.15
O: 0.891 0.673 0.590  0.15
Rb: 0.174 0.000 0.653  0.01
Rb: 0.826 0.000 0.347  0.01
Rb: 0.924 0.500 0.153  0.01
Rb: 0.576 0.500 0.847  0.01
Se: 0.500 0.000 0.000  0.09
Se: 0.250 0.500 0.500  0.09
Li: 0.000 0.000 0.000  0.00
Li: 0.750 0.500 0.500  0.00

=====

14.
DFT (PBE) results for an optimized crystal structure of AlOs.

Raw total energy ... -27.902 eV per cell
Energy relative to the elements ... 0.5106 eV per atom
V ... 63.30 Å³ per cell
SG ... P6_3/mmc

a = 3.881 Å, b = 3.881 Å, c = 4.852 Å
α = 90.00°, β = 90.00°, γ = 120.00°
Atoms (fractional coordinates):
Al: 0.000 0.000 0.000
Al: 0.000 0.000 0.500
Os: 0.333 0.667 0.250
Os: 0.667 0.333 0.750

=====

15.
DFT (PBE) results for an optimized crystal structure of TlS3N.

ΔE to the lowest computed polymorph ... 0.0 meV/atom
Raw total energy ... -86.742 eV per cell
V ... 498.06 Å³ per cell
SG ... C2/c

a = 11.733 Å, b = 11.257 Å, c = 11.257 Å
α = 77.70°, β = 137.02°, γ = 137.02°
Atoms (fractional coordinates):
S: 0.179 0.470 0.092
S: 0.331 0.161 0.582
S: 0.169 0.418 0.839
S: 0.831 0.582 0.161
S: 0.821 0.530 0.908
S: 0.176 0.212 0.064
S: 0.324 0.936 0.788
S: 0.679 0.092 0.470
S: 0.824 0.788 0.936
S: 0.676 0.064 0.212
S: 0.321 0.908 0.530
S: 0.669 0.839 0.418
N: 0.209 0.390 0.015
N: 0.709 0.015 0.390
N: 0.791 0.610 0.985
N: 0.291 0.985 0.610
Tl: 0.250 0.034 0.966
Tl: 0.750 0.966 0.034
Tl: 0.250 0.565 0.435
Tl: 0.750 0.435 0.565

=====

16.
DFT (PBE) results for an optimized crystal structure of Tb4SmAl3.

ΔE to the lowest computed polymorph ... 141.4 meV/atom
Raw total energy ... -35.541 eV per cell
Energy relative to the elements ... -0.1341 eV per atom
V ... 217.00 Å³ per cell
SG ... Immm

a = 3.397 Å, b = 8.566 Å, c = 8.764 Å
α = 119.24°, β = 101.18°, γ = 90.00°
Atoms (fractional coordinates):
Tb: 0.360 0.164 0.720
Tb: 0.640 0.445 0.281
Tb: 0.640 0.836 0.280
Tb: 0.360 0.555 0.719
Al: 0.000 0.500 0.000
Al: 0.184 0.184 0.368
Al: 0.816 0.816 0.632
Sm: 0.500 0.000 0.000

=====

17.
DFT (PBE) results for an optimized crystal structure of CeCuPH2.

Raw total energy ... -48.645 eV per cell
V ... 141.68 Å³ per cell
SG ... P4mm

a = 5.418 Å, b = 5.418 Å, c = 6.162 Å
α = 116.08°, β = 116.08°, γ = 90.00°
Last column: magnetic moment on the atom in μB.
Atoms (fractional coordinates):
H: 0.723 0.223 0.946  0.00
H: 0.223 0.723 0.946  0.00
H: 0.723 0.723 0.946  0.00
H: 0.223 0.223 0.946  0.00
Ce: 0.321 0.821 0.641  -0.29
Ce: 0.821 0.321 0.641  -0.29
P: 0.739 0.739 0.477  0.02
P: 0.239 0.239 0.477  0.02
Cu: 0.496 0.496 0.991  0.00
Cu: 0.996 0.996 0.991  0.00

=====

18.
DFT (PBE) results for an optimized crystal structure of La6ErCd.

ΔE to the lowest computed polymorph ... 410.8 meV/atom
Raw total energy ... -32.221 eV per cell
Energy relative to the elements ... 0.3527 eV per atom
V ... 322.95 Å³ per cell
SG ... P-1

a = 6.599 Å, b = 6.652 Å, c = 9.311 Å
α = 68.61°, β = 69.80°, γ = 60.06°
Atoms (fractional coordinates):
La: 0.429 0.804 0.720
La: 0.571 0.196 0.280
La: 0.802 0.031 0.721
La: 0.198 0.969 0.279
La: 0.963 0.567 0.286
La: 0.037 0.433 0.714
Er: 0.500 0.500 0.500
Cd: 0.000 0.000 0.000

=====

19.
DFT (PBE) results for an optimized crystal structure of InNiPt3.

ΔE to the lowest computed polymorph ... 827.0 meV/atom
Raw total energy ... -19.442 eV per cell
Energy relative to the elements ... 1.4401 eV per atom
V ... 119.63 Å³ per cell
SG ... Pm-3m

a = 4.927 Å, b = 4.927 Å, c = 4.927 Å
α = 90.00°, β = 90.00°, γ = 90.00°
Last column: magnetic moment on the atom in μB.
Atoms (fractional coordinates):
In: 0.000 0.000 0.000  0.01
Ni: 0.500 0.500 0.500  1.06
Pt: 0.000 0.500 0.000  -0.05
Pt: 0.000 0.000 0.500  0.04
Pt: 0.500 0.000 0.000  -0.05

=====

20.
DFT (PBE) results for an optimized crystal structure of LaSc2W.

Raw total energy ... -28.987 eV per cell
Energy relative to the elements ... 0.3892 eV per atom
V ... 97.26 Å³ per cell
SG ... Pm

a = 4.941 Å, b = 3.082 Å, c = 6.571 Å
α = 76.43°, β = 90.00°, γ = 90.00°
Atoms (fractional coordinates):
W: 0.000 0.335 0.453
Sc: 0.000 0.031 0.064
Sc: 0.500 0.434 0.260
La: 0.500 0.700 0.723

=====

21.
DFT (PBE) results for an optimized crystal structure of Ac3SmSn4.

Raw total energy ... -75.226 eV per cell
Energy relative to the elements ... -0.5696 eV per atom
V ... 531.59 Å³ per cell
SG ... Pmn2_1

a = 6.771 Å, b = 6.773 Å, c = 11.591 Å
α = 90.00°, β = 90.00°, γ = 90.00°
Atoms (fractional coordinates):
Sn: 0.676 0.767 0.295
Sn: 0.176 0.233 0.795
Sn: 0.429 0.465 0.000
Sn: 0.469 0.000 0.500
Sn: 0.969 0.000 0.000
Sn: 0.176 0.233 0.205
Sn: 0.929 0.535 0.500
Sn: 0.676 0.767 0.705
Sm: 0.426 0.505 0.500
Sm: 0.926 0.495 0.000
Ac: 0.983 0.048 0.500
Ac: 0.678 0.267 0.748
Ac: 0.483 0.952 0.000
Ac: 0.678 0.267 0.252
Ac: 0.178 0.733 0.248
Ac: 0.178 0.733 0.752

=====

22.
DFT (PBE) results for an optimized crystal structure of PuMgCdHg.

Raw total energy ... -17.636 eV per cell
Energy relative to the elements ... -0.1232 eV per atom
V ... 96.99 Å³ per cell
SG ... F-43m

a = 5.157 Å, b = 5.157 Å, c = 5.157 Å
α = 60.00°, β = 60.00°, γ = 60.00°
Last column: magnetic moment on the atom in μB.
Atoms (fractional coordinates):
Mg: 0.750 0.750 0.750  0.00
Pu: 0.250 0.250 0.250  5.40
Cd: 0.500 0.500 0.500  0.03
Hg: 0.000 0.000 0.000  0.03

=====

23.
DFT (PBE) results for an optimized crystal structure of CeTaSn2.

Raw total energy ... -25.213 eV per cell
Energy relative to the elements ... 0.1447 eV per atom
V ... 97.56 Å³ per cell
SG ... R-3m

a = 3.152 Å, b = 3.152 Å, c = 11.483 Å
α = 82.11°, β = 82.11°, γ = 60.00°
Last column: magnetic moment on the atom in μB.
Atoms (fractional coordinates):
Sn: 0.904 0.904 0.287  0.00
Sn: 0.096 0.096 0.713  0.00
Ta: 0.500 0.500 0.500  0.00
Ce: 0.000 0.000 0.000  0.52

=====

24.
DFT (PBE) results for an optimized crystal structure of CaHI2.

Raw total energy ... -26.711 eV per cell
V ... 321.92 Å³ per cell
SG ... P-1

a = 4.514 Å, b = 7.828 Å, c = 10.123 Å
α = 112.58°, β = 101.86°, γ = 90.09°
Atoms (fractional coordinates):
I: 0.340 0.512 0.195
I: 0.159 0.984 0.805
I: 0.660 0.488 0.805
I: 0.841 0.016 0.195
H: 0.453 0.973 0.514
H: 0.547 0.027 0.486
Ca: 0.749 0.250 0.999
Ca: 0.251 0.750 0.001